Pm2Sm7Tm3 after structural relaxation, computed with PBE.

It has space group P2/m (No. 10), with a = 6.197 Å, b = 5.471 Å, c = 12.394 Å, α = 90.00°, β = 90.37° and γ = 90.00°. Symmetry generates all atoms from Pm at (0.098, 0.000, 0.279), Sm at (0.057, 0.500, 0.821), Sm at (0.261, 0.000, 0.545), Sm at (0.420, 0.000, 0.829), Sm at (0.500, 0.500, 0.000), Tm at (0.000, 0.000, 0.000) and Tm at (0.439, 0.500, 0.345).

As for the excess energy over the best structure of this formula in the dataset: 211 meV per atom.



Li2ZrTlCd after structural relaxation, computed with PBE.

It has space group P4/mmm (No. 123), with a = 5.448 Å, b = 5.448 Å, c = 5.622 Å, α = 90.00°, β = 90.00° and γ = 90.00°. Symmetry generates all atoms from Li at (0.000, 0.500, 0.000), Zr at (0.000, 0.000, 0.000), Tl at (0.500, 0.500, 0.500) and Cd at (0.000, 0.000, 0.500).



| no. | energy relative to the elements (eV per atom) | DOS(E_F) (states/eV/f.u.) | DFT total energy (Ry per atom) |
| --- | --- | --- | --- |
| 1 | 0.298 | 18.74 | -0.321 |
| 2 | 0.944 | 4.77 | -0.161 |